Entry 1:
A relaxed structure of Hf2Zr2Au. Source: Alexandria via LeMat-Bulk, functional GGA-PBE.

Lattice parameters (Å, degrees): 7.228 7.228 4.315 90.00 90.00 90.00
Space group P4/mbm (No. 127)
Asymmetric unit:
1 Hf 0.144 0.356 0.000 x4
2 Zr 0.154 0.654 0.500 x4
3 Au 0.000 0.000 0.000 x2

* formation energy: 2 meV per atom
* calculated density: 10.85 g/cm³


Entry 2:
A relaxed structure of HfZr3Au. Source: Alexandria via LeMat-Bulk, functional GGA-PBE.

Lattice parameters (Å, degrees): 5.110 5.110 5.110 90.00 90.00 90.00
Space group Pm-3m (No. 221)
Asymmetric unit:
1 Hf 0.000 0.000 0.000 x1
2 Zr 0.000 0.000 0.500 x3
3 Au 0.500 0.500 0.500 x1

* formation energy: 1075 meV per atom
* calculated density: 8.08 g/cm³


Entry 3:
A relaxed structure of HfZrAu. Source: Alexandria via LeMat-Bulk, functional GGA-PBE.

Lattice parameters (Å, degrees): 3.277 3.277 11.733 90.00 90.00 90.00
Space group I4mm (No. 107)
Asymmetric unit:
1 Hf 0.000 0.000 0.000 x2
2 Zr 0.000 0.000 0.677 x2
3 Au 0.000 0.000 0.348 x2

* formation energy: -434 meV per atom
* calculated density: 12.30 g/cm³


Entry 4:
A relaxed structure of HfZrAu4. Source: Alexandria via LeMat-Bulk, functional GGA-PBE.

Lattice parameters (Å, degrees): 3.582 3.582 8.870 90.00 90.00 90.00
Space group P4/mmm (No. 123)
Asymmetric unit:
1 Hf 0.000 0.000 0.000 x1
2 Zr 0.500 0.500 0.500 x1
3 Au 0.000 0.000 0.330 x2
4 Au 0.500 0.500 0.165 x2

* formation energy: -567 meV per atom
* calculated density: 15.43 g/cm³


Entry 5:
A relaxed structure of Hf2ZrAu6. Source: Alexandria via LeMat-Bulk, functional GGA-PBE.

Lattice parameters (Å, degrees): 5.032 15.705 5.023 90.00 119.78 90.00
Space group C2/m (No. 12)
Asymmetric unit:
1 Hf 0.000 0.166 0.000 x4
2 Zr 0.000 0.000 0.500 x2
3 Au 0.168 0.334 0.333 x8
4 Au 0.168 0.500 0.833 x4

* formation energy: -510 meV per atom
* calculated density: 15.71 g/cm³


Entry 6:
A relaxed structure of Hg2Au. Source: Alexandria via LeMat-Bulk, functional GGA-PBE.

Lattice parameters (Å, degrees): 6.847 7.227 3.075 90.00 90.00 90.00
Space group Pnnm (No. 58)
Asymmetric unit:
1 Hg 0.169 0.143 0.000 x4
2 Au 0.000 0.500 0.000 x2

* formation energy: 67 meV per atom
* calculated density: 13.06 g/cm³


Entry 7:
A relaxed structure of HgAu2. Source: Alexandria via LeMat-Bulk, functional GGA-PBE.

Lattice parameters (Å, degrees): 2.998 2.998 13.018 90.00 90.00 90.00
Space group I4/mmm (No. 139)
Asymmetric unit:
1 Hg 0.000 0.000 0.000 x2
2 Au 0.000 0.000 0.329 x4

* formation energy: 92 meV per atom
* calculated density: 16.87 g/cm³


Entry 8:
A relaxed structure of HgAu2. Source: Alexandria via LeMat-Bulk, functional GGA-PBE.

Lattice parameters (Å, degrees): 6.644 6.644 6.644 90.00 90.00 90.00
Space group Pa-3 (No. 205)
Asymmetric unit:
1 Hg 0.000 0.000 0.000 x4
2 Au 0.118 0.618 0.882 x8

* formation energy: 362 meV per atom
* calculated density: 13.47 g/cm³


Entry 9:
A relaxed structure of HgAu3. Source: Alexandria via LeMat-Bulk, functional GGA-PBE.

Lattice parameters (Å, degrees): 5.986 7.714 3.308 90.00 90.00 90.00
Space group Cmmm (No. 65)
Asymmetric unit:
1 Hg 0.000 0.000 0.000 x2
2 Au 0.000 0.500 0.000 x2
3 Au 0.250 0.250 0.500 x4

* formation energy: 60 meV per atom
* calculated density: 17.21 g/cm³


Entry 10:
A relaxed structure of HgAu2. Source: Alexandria via LeMat-Bulk, functional GGA-PBE.

Lattice parameters (Å, degrees): 8.3772 8.3772 2.8911 90.00 90.00 120.00
Space group P-62m (No. 189)
Asymmetric unit:
1 Hg 0.0000 0.0000 0.0000 x1
2 Hg 0.3333 0.6667 0.5000 x2
3 Au 0.0000 0.3112 0.5000 x3
4 Au 0.0000 0.6432 0.0000 x3

* formation energy: 94 meV per atom
* calculated density: 16.86 g/cm³


Entry 11:
A relaxed structure of HgAu4. Source: Alexandria via LeMat-Bulk, functional GGA-PBE.

Lattice parameters (Å, degrees): 9.494 9.494 9.494 90.00 90.00 90.00
Space group I-43m (No. 217)
Asymmetric unit:
1 Hg 0.212 0.212 0.788 x8
2 Au 0.000 0.000 0.349 x12
3 Au 0.000 0.250 0.500 x12
4 Au 0.113 0.113 0.113 x8

* formation energy: 201 meV per atom
* calculated density: 15.34 g/cm³


Entry 12:
A relaxed structure of HgAu3. Source: Alexandria via LeMat-Bulk, functional GGA-PBE.

Lattice parameters (Å, degrees): 3.0363 3.0363 9.6626 90.00 90.00 120.00
Space group P-6m2 (No. 187)
Asymmetric unit:
1 Hg 0.0000 0.0000 0.0000 x1
2 Au 0.0000 0.0000 0.5000 x1
3 Au 0.6667 0.3333 0.2585 x2

* formation energy: 87 meV per atom
* calculated density: 17.04 g/cm³